1.
NdY2Ag4 | PBE-GGA | relaxed

Geometry as POSCAR:
```
NdY2Ag4
1.0
-3.6716 3.6716 3.5118
3.6716 -3.6716 3.5118
3.6716 3.6716 -3.5118
Nd Y Ag
1 2 4
Cartesian
0.0000 0.0000 0.0000
3.6716 0.0000 0.0000
0.0000 3.6716 0.0000
1.8358 1.8358 -1.7559
1.8358 -1.8358 1.7559
-1.8358 1.8358 1.7559
1.8358 1.8358 1.7559
```

Computed properties:
calculated volume = 189 Å³ per cell
calculated total energy = -4.23 eV/atom
formation energy from the elements = -0.08 eV per atom
DOS(E_F) = 0.748 states/eV/atom

2.
NdYAg4 | PBE-GGA | relaxed

Geometry as POSCAR:
```
NdYAg4
1.0
5.0730 -1.8845 0.0000
5.0730 1.8845 0.0000
-2.8727 0.0000 7.1066
Nd Y Ag
1 1 4
Cartesian
0.0000 0.0000 0.0000
-1.4363 0.0000 3.5533
1.4419 0.0000 4.6739
2.8518 0.0000 1.2308
4.4215 0.0000 5.8758
5.8314 0.0000 2.4327
```

Computed properties:
calculated volume = 136 Å³ per cell
energy above the lowest structure with this stoichiometry = 0.0000 eV per atom
calculated total energy = -4.05 eV/atom
formation energy from the elements = -0.28 eV per atom
DOS(E_F) = 0.499 states/eV/atom

3.
NdY4Ag2 | PBE-GGA | relaxed

Geometry as POSCAR:
```
NdY4Ag2
1.0
2.4943 1.4401 10.2673
-2.4943 1.4401 10.2673
0.0000 -2.8802 10.2673
Nd Y Ag
1 4 2
Cartesian
0.0000 0.0000 0.0000
0.0000 0.0000 6.2172
0.0000 0.0000 12.2096
0.0000 0.0000 18.5923
0.0000 0.0000 24.5847
0.0000 0.0000 3.1394
0.0000 0.0000 27.6626
```

Computed properties:
calculated volume = 221 Å³ per cell
calculated total energy = -5.03 eV/atom
formation energy from the elements = 0.16 eV per atom
DOS(E_F) = 1.712 states/eV/atom

4.
NdYAg2 | PBE-GGA | relaxed

Geometry as POSCAR:
```
NdYAg2
1.0
0.0000 3.7071 3.7071
3.7071 0.0000 3.7071
3.7071 3.7071 0.0000
Nd Y Ag
1 1 2
Cartesian
0.0000 0.0000 0.0000
3.7071 3.7071 3.7071
1.8535 1.8535 1.8535
5.5606 5.5606 5.5606
```

Computed properties:
calculated volume = 102 Å³ per cell
energy above the lowest structure with this stoichiometry = 0.0129 eV per atom
calculated total energy = -4.52 eV/atom
formation energy from the elements = -0.28 eV per atom
DOS(E_F) = 0.961 states/eV/atom

5.
NdY5Ag | PBE-GGA | relaxed

Geometry as POSCAR:
```
NdY5Ag
1.0
4.4204 -4.0802 0.0000
4.4204 4.0802 0.0000
-2.6196 0.0000 11.9195
Nd Y Ag
2 10 2
Cartesian
2.4557 2.9859 8.9396
3.7655 -2.9859 2.9799
-0.2319 1.1645 6.8257
-0.2447 1.3684 10.3881
1.0779 -1.1645 0.8660
1.0652 -1.3684 4.4284
3.7655 0.2374 2.9799
2.4557 -0.2374 8.9396
5.1561 1.3684 7.4911
5.1433 1.1645 11.0535
6.4659 -1.3684 1.5313
6.4531 -1.1645 5.0938
4.4204 0.0000 0.0000
3.1106 0.0000 5.9597
```

Computed properties:
calculated volume = 430 Å³ per cell
calculated total energy = -5.67 eV/atom
formation energy from the elements = 0.03 eV per atom
DOS(E_F) = 1.517 states/eV/atom

6.
NdY2Ag3 | PBE-GGA | relaxed

Geometry as POSCAR:
```
NdY2Ag3
1.0
3.6555 0.0000 0.0000
0.0000 3.6555 0.0000
0.0000 0.0000 11.1933
Nd Y Ag
1 2 3
Cartesian
0.0000 0.0000 0.0000
0.0000 0.0000 3.7743
0.0000 0.0000 7.4190
1.8277 1.8277 2.0036
1.8277 1.8277 5.5966
1.8277 1.8277 9.1896
```

Computed properties:
calculated volume = 150 Å³ per cell
calculated total energy = -4.68 eV/atom
formation energy from the elements = -0.31 eV per atom
DOS(E_F) = 0.511 states/eV/atom

7.
Nd4Y5Ag | PBE-GGA | relaxed

Geometry as POSCAR:
```
Nd4Y5Ag
1.0
3.6264 0.0000 0.0000
0.0000 3.6264 0.0000
0.0000 0.0000 24.2674
Nd Y Ag
4 5 1
Cartesian
0.0000 0.0000 2.5535
0.0000 0.0000 7.6734
0.0000 0.0000 16.5940
0.0000 0.0000 21.7139
1.8132 1.8132 0.0000
1.8132 1.8132 5.1217
1.8132 1.8132 10.2762
1.8132 1.8132 13.9912
1.8132 1.8132 19.1457
0.0000 0.0000 12.1337
```

Computed properties:
calculated volume = 319 Å³ per cell
calculated total energy = -5.47 eV/atom
formation energy from the elements = -0.05 eV per atom
DOS(E_F) = 1.337 states/eV/atom

8.
NdY3Ag4 | PBE-GGA | relaxed

Geometry as POSCAR:
```
NdY3Ag4
1.0
3.6398 0.0000 0.0000
0.0000 5.2243 0.0000
0.0000 0.0000 10.4366
Nd Y Ag
1 3 4
Cartesian
0.0000 0.0000 0.0000
0.0000 0.0000 5.2183
0.0000 2.6122 2.6327
0.0000 2.6122 7.8038
1.8199 0.0000 2.6937
1.8199 0.0000 7.7429
1.8199 2.6122 0.0000
1.8199 2.6122 5.2183
```

Computed properties:
calculated volume = 198 Å³ per cell
calculated total energy = -4.75 eV/atom
formation energy from the elements = -0.31 eV per atom
DOS(E_F) = 0.692 states/eV/atom

9.
Nd6Y2Ag | PBE-GGA | relaxed

Geometry as POSCAR:
```
Nd6Y2Ag
1.0
8.7787 -4.7922 0.0000
8.7787 4.7922 0.0000
-0.0095 0.0000 3.5835
Nd Y Ag
6 2 1
Cartesian
5.8979 1.6481 1.7929
8.7787 2.7602 0.0000
11.6500 1.6481 1.7906
5.8979 -1.6481 1.7929
8.7787 -2.7602 0.0000
11.6500 -1.6481 1.7906
3.1108 0.0000 3.5765
14.4370 0.0000 0.0070
8.7739 0.0000 1.7917
```

Computed properties:
calculated volume = 302 Å³ per cell
calculated total energy = -4.83 eV/atom
formation energy from the elements = 0.10 eV per atom
DOS(E_F) = 1.472 states/eV/atom

10.
Nd5Y3Ag2 | PBE-GGA | relaxed

Geometry as POSCAR:
```
Nd5Y3Ag2
1.0
-5.8218 8.1093 3.4142
5.8218 -8.1093 3.4142
5.8218 8.1093 -3.4142
Nd Y Ag
10 6 4
Cartesian
5.8218 4.9218 -1.7071
2.6921 1.0834 0.0000
0.0000 0.0000 1.7071
2.6921 -1.0834 3.4142
0.0000 3.1875 1.7071
5.8218 4.9218 1.7071
3.1297 9.1928 0.0000
0.0000 0.0000 5.1213
3.1297 7.0259 3.4142
0.0000 3.1875 5.1213
8.3861 2.7196 0.0000
5.8218 0.0000 1.7071
2.5643 5.3897 0.0000
3.2575 2.7196 3.4142
0.0000 8.1093 1.7071
-2.5643 5.3897 3.4142
5.2694 2.4979 0.0000
5.2694 -2.4979 3.4142
0.5524 10.6072 0.0000
0.5524 5.6114 3.4142
```

Computed properties:
calculated volume = 645 Å³ per cell
calculated total energy = -4.77 eV/atom
formation energy from the elements = 0.12 eV per atom
DOS(E_F) = 1.496 states/eV/atom

11.
Nd2YZn2Ag2 | PBE-GGA | relaxed

Geometry as POSCAR:
```
Nd2YZn2Ag2
1.0
2.3319 1.3463 9.0706
-2.3319 1.3463 9.0706
0.0000 -2.6927 9.0706
Nd Y Zn Ag
2 1 2 2
Cartesian
0.0000 0.0000 3.3450
0.0000 0.0000 23.8669
0.0000 0.0000 0.0000
0.0000 0.0000 7.2668
0.0000 0.0000 19.9451
0.0000 0.0000 10.6956
0.0000 0.0000 16.5162
```

Computed properties:
calculated volume = 171 Å³ per cell
calculated total energy = -3.69 eV/atom
formation energy from the elements = -0.23 eV per atom
DOS(E_F) = 0.928 states/eV/atom

12.
YbNdAg2 | PBE-GGA | relaxed

Geometry as POSCAR:
```
YbNdAg2
1.0
0.0000 3.7058 3.7058
3.7058 0.0000 3.7058
3.7058 3.7058 0.0000
Yb Nd Ag
1 1 2
Cartesian
0.0000 0.0000 0.0000
3.7058 3.7058 3.7058
1.8529 1.8529 1.8529
5.5587 5.5587 5.5587
```

Computed properties:
calculated volume = 102 Å³ per cell
calculated total energy = -3.34 eV/atom
formation energy from the elements = -0.34 eV per atom
DOS(E_F) = 4.013 states/eV/atom

Look up the calculated volume of the sixth one. 150 Å³ per cell

Among the records above, which one has the highest DOS(E_F)? YbNdAg2

The highest DOS(E_F) belongs to which entry? YbNdAg2

Please write out number 10 again, unchanged.
Nd5Y3Ag2 | PBE-GGA | relaxed

Geometry as POSCAR:
```
Nd5Y3Ag2
1.0
-5.8218 8.1093 3.4142
5.8218 -8.1093 3.4142
5.8218 8.1093 -3.4142
Nd Y Ag
10 6 4
Cartesian
5.8218 4.9218 -1.7071
2.6921 1.0834 0.0000
0.0000 0.0000 1.7071
2.6921 -1.0834 3.4142
0.0000 3.1875 1.7071
5.8218 4.9218 1.7071
3.1297 9.1928 0.0000
0.0000 0.0000 5.1213
3.1297 7.0259 3.4142
0.0000 3.1875 5.1213
8.3861 2.7196 0.0000
5.8218 0.0000 1.7071
2.5643 5.3897 0.0000
3.2575 2.7196 3.4142
0.0000 8.1093 1.7071
-2.5643 5.3897 3.4142
5.2694 2.4979 0.0000
5.2694 -2.4979 3.4142
0.5524 10.6072 0.0000
0.5524 5.6114 3.4142
```

Computed properties:
calculated volume = 645 Å³ per cell
calculated total energy = -4.77 eV/atom
formation energy from the elements = 0.12 eV per atom
DOS(E_F) = 1.496 states/eV/atom